CrBr2N (SCAN, PBEsol geometry); ΔE_f (raw) = -4.8 kcal/mol of atoms; symmetry = I-42d; density of states at the Fermi level = 0.035 states/eV/f.u.
1.0
-5.5316 -7.1126 -2.3250
4.5549 0.9144 4.9877
0.7312 -3.3912 8.6347
Cr N Br
2 2 4
direct
0.7500 0.5000 0.7500
0.0000 0.0000 0.0000
0.5000 0.0000 0.5000
0.2500 0.5000 0.2500
0.7830 0.7500 0.3750
0.3750 0.2500 0.9670
0.9670 0.7500 0.8750
0.8750 0.2500 0.7830